Here is a relaxed structure of KIn2GaOs from the Alexandria database. Energies are from PBE-GGA.

E above lowest polymorph = 0.0000 eV per atom
DFT total energy = -4.244 eV/atom
energy of formation from the pure elements = -0.08 eV/atom
volume = 135 Å³/cell

Lattice parameters (Å, degrees): 5.2392 5.2392 4.9337 90.00 90.00 90.00
Last column: nearest neighbours and their distance in Å.
Space group P4/mmm (No. 123)
Asymmetric unit:
K1 0.0000 0.0000 0.0000 (multiplicity 1)  8 In 3.60, 4 Ga 3.70
In1 0.0000 0.5000 0.5000 (multiplicity 2)  2 Os 2.62
Ga1 0.5000 0.5000 0.0000 (multiplicity 1)  2 Os 2.47
Os1 0.5000 0.5000 0.5000 (multiplicity 1)  2 Ga 2.47, 4 In 2.62

---

Here is a relaxed structure of CeYHo2S4 from the Alexandria database. Energies are from PBE-GGA.

DFT total energy = -6.761 eV/atom
energy relative to the elements, uncorrected = -2003 meV/atom
volume = 171 Å³/cell

Lattice parameters (Å, degrees): 6.8075 3.9054 6.8248 90.00 109.21 90.00
Last column: nearest neighbours and their distance in Å.
Space group P2/m (No. 10)
Asymmetric unit:
Ce1 0.0000 0.0000 0.0000 (multiplicity 1)  6 S 2.82-2.83
Y1 0.5000 0.5000 0.0000 (multiplicity 1)  6 S 2.79
Ho1 0.0000 0.5000 0.5000 (multiplicity 1)  6 S 2.76-2.77
Ho2 0.5000 0.0000 0.5000 (multiplicity 1)  6 S 2.73
S1 0.2520 0.0000 0.7437 (multiplicity 2)  3 Ho 2.73-2.76, 2 Y 2.79, 1 Ce 2.82
S2 0.2575 0.5000 0.2597 (multiplicity 2)  3 Ho 2.73-2.77, 1 Y 2.79, 2 Ce 2.83

---

Here is a relaxed structure of TiTe3Ir from the Alexandria database. Energies are from PBE-GGA.

E above lowest polymorph = 0.1824 eV per atom
DFT total energy = -4.377 eV/atom
energy relative to the elements, uncorrected = 859 meV/atom
volume = 137 Å³/cell

Lattice parameters (Å, degrees): 5.1570 5.1570 5.1570 90.00 90.00 90.00
Last column: nearest neighbours and their distance in Å.
Space group Pm-3m (No. 221)
Asymmetric unit:
Ti1 0.0000 0.0000 0.0000 (multiplicity 1)  6 Te 2.58
Te1 0.0000 0.0000 0.5000 (multiplicity 3)  2 Ti 2.58
Ir1 0.5000 0.5000 0.5000 (multiplicity 1)  12 Te 3.65